First-principles (GGA-PBE) data for a relaxed structure of TbHoF6, as listed in Alexandria via LeMat-Bulk.

Cell: 5.873 5.877 6.214 Å, 61.85 61.83 60.06°
Space group P-1 (No. 2)
Asymmetric unit:
Tb: 0.000 0.000 0.000
Ho: 0.500 0.500 0.500
F: 0.173 0.330 0.748
F: 0.251 0.827 0.252
F: 0.331 0.749 0.748

Computed properties:
Formation energy (no corrections) = -4.12 eV per atom

---

First-principles (GGA-PBE) data for a relaxed structure of OsBrO3, as listed in Alexandria via LeMat-Bulk.

Cell: 5.127 5.967 6.865 Å, 87.52 86.63 84.00°
Space group P-1 (No. 2)
Asymmetric unit:
Os: 0.000 0.000 0.000
Os: 0.500 0.000 0.000
Br: 0.228 0.443 0.474
O: 0.224 0.243 0.950
O: 0.243 0.922 0.206
O: 0.283 0.836 0.844

Computed properties:
Formation energy (no corrections) = -0.44 eV per atom

---

First-principles (GGA-PBE) data for a relaxed structure of V3ZnMo, as listed in Alexandria via LeMat-Bulk.

Cell: 4.395 4.395 4.395 Å, 90.00 90.00 90.00°
Space group Pm-3m (No. 221)
Asymmetric unit:
V: 0.000 0.000 0.500
Zn: 0.000 0.000 0.000
Mo: 0.500 0.500 0.500

Computed properties:
Polymorph energy (0 for the lowest one) = 686 kJ/mol of formula units
Energy of formation = 1.46 eV/atom

---

First-principles (GGA-PBE) data for a relaxed structure of Li3Tl2Ag6, as listed in Alexandria via LeMat-Bulk.

Cell: 7.4756 7.4756 4.6201 Å, 90.00 90.00 120.00°
Space group P-62m (No. 189)
Asymmetric unit:
Li: 0.0000 0.5686 0.0000
Tl: 0.3333 0.6667 0.5000
Ag: 0.0000 0.2250 0.0000
Ag: 0.0000 0.7728 0.5000

Computed properties:
Energy of formation = -0.01 eV/atom

---

First-principles (GGA-PBE) data for a relaxed structure of Cs2ZnInAs2, as listed in Alexandria via LeMat-Bulk.

Cell: 6.863 16.890 6.861 Å, 90.00 90.00 90.00°
Space group Ibam (No. 72)
Asymmetric unit:
Cs: 0.249 0.170 0.000
Zn: 0.000 0.000 0.250
In: 0.000 0.500 0.250
As: 0.225 0.082 0.500

Computed properties:
Energy of formation = -0.35 eV/atom

---

Asked for total DFT energy (no corrections) across the records above, the calculation gives -6.678 -5.997 -6.435 -2.522 -2.854 eV per atom in order.